{
  "formula": "SmHo4Th2",
  "functional": "PBE",
  "state": "relaxed",
  "e_above_lowest_polymorph_mev_per_atom": 710,
  "vol_a3_per_cell": 257.6,
  "sg": "I4/mmm",
  "dos_at_fermi_per_ev_cell": 12.33,
  "m_tot_mub_per_fu": 0.00,
  "dft_energy_ev_per_atom": -4.6050,
  "formation_enthalpy_0k_kj_per_mol_atoms": 77.7,
  "cell": [[5.565, 0.000, 0.000], [0.000, 5.565, 0.000], [-2.782, -2.782, 8.318]],
  "species": ["Ho", "Ho", "Ho", "Ho", "Th", "Th", "Sm"],
  "fractional_positions": [[0.000, 0.500, 0.000], [0.180, 0.180, 0.360], [0.820, 0.820, 0.640], [0.500, 0.000, 0.000], [0.613, 0.613, 0.227], [0.387, 0.387, 0.773], [0.000, 0.000, 0.000]]
}